# 1
Pb4Se2SBr: relaxed, PBE-GGA.

```
Pb4Se2SBr
1.0
4.295 0.000 0.000
0.000 7.235 -0.076
0.000 2.616 7.692
Pb Br Se S
4 1 2 1
direct
0.500 0.250 0.739
0.500 0.750 0.261
0.000 0.241 0.268
0.000 0.759 0.732
0.500 0.500 0.000
0.000 0.000 0.000
0.500 0.000 0.500
0.000 0.500 0.500
```

Calculated values
DFT total energy ... -3.946 eV/atom

---

# 2
Zr5Zn4Ru: relaxed, PBE-GGA.

```
Zr5Zn4Ru
1.0
3.334 0.000 0.000
0.000 3.334 0.000
0.000 0.000 16.599
Zr Zn Ru
5 4 1
direct
0.500 0.500 0.299
0.500 0.500 0.500
0.500 0.500 0.096
0.500 0.500 0.701
0.500 0.500 0.904
0.000 0.000 0.600
0.000 0.000 0.801
0.000 0.000 0.199
0.000 0.000 0.400
0.000 0.000 0.000
```

Calculated values
Formation enthalpy at 0 K ... -3.41 eV/f.u.

---

# 3
BaTl2NiSb: relaxed, PBE-GGA.

```
BaTl2NiSb
1.0
-0.541 -3.276 -4.018
4.879 1.044 -1.508
1.803 -4.032 3.044
Tl Sb Ba Ni
2 1 1 1
direct
0.000 0.500 0.000
0.500 0.000 0.000
0.000 0.000 0.500
0.500 0.500 0.500
0.000 0.000 0.000
```

Calculated values
DFT total energy ... -3.549 eV/atom

---

> What is the formula in the third record?

BaTl2NiSb